Entry P
Y2BeTl | GGA-PBE | optimized geometry

Lattice parameters (Å, degrees): 5.1530 5.1530 5.1530 60.00 60.00 60.00
Positions (direct):
Y 0.2500 0.2500 0.2500
Y 0.7500 0.7500 0.7500
Be 0.0000 0.0000 0.0000
Tl 0.5000 0.5000 0.5000



Entry Q
Y2BeTl | GGA-PBE | optimized geometry

Lattice parameters (Å, degrees): 3.4054 3.4054 8.4246 90.00 90.00 90.00
Positions (direct):
Y 0.0000 0.0000 0.0000
Y 0.5000 0.5000 0.3248
Be 0.0000 0.0000 0.5402
Tl 0.5000 0.5000 0.7182



Entry R
Y2BeTl | GGA-PBE | optimized geometry

Lattice parameters (Å, degrees): 3.5748 4.6721 6.2259 90.00 90.00 90.00
Positions (direct):
Y 0.0000 0.0000 0.0000
Y 0.5000 0.5000 0.3407
Be 0.0000 0.0000 0.4753
Tl 0.5000 0.5000 0.8184



Last place for stability: entry R



Entry P
Y2BeTl | GGA-PBE | optimized geometry

Lattice parameters (Å, degrees): 4.4091 6.1038 6.1038 36.85 90.00 90.00
Positions (direct):
Y 0.0000 0.0000 0.0000
Y 0.5000 0.3094 0.3094
Be 0.5000 0.5773 0.5773
Tl 0.0000 0.7152 0.7152



Entry Q
Y2BeTl | GGA-PBE | optimized geometry

Lattice parameters (Å, degrees): 6.1669 6.1669 6.1669 146.11 132.62 59.52
Positions (direct):
Y 0.0000 0.0000 0.0000
Y 0.7226 0.2226 0.5000
Be 0.2486 0.7486 0.5000
Tl 0.4293 0.4293 0.0000



Entry R
Y2BeTl | GGA-PBE | optimized geometry

Lattice parameters (Å, degrees): 4.5973 4.5973 6.9814 101.70 101.70 47.29
Positions (direct):
Y 0.2374 0.2374 0.2077
Y 0.7626 0.7626 0.7923
Be 0.5000 0.5000 0.0000
Tl 0.0000 0.0000 0.5000



Last place for stability: entry R



Entry P
Y2BeTl | GGA-PBE | optimized geometry

Lattice parameters (Å, degrees): 9.1166 9.1166 9.1166 23.29 23.29 23.29
Positions (direct):
Y 0.2365 0.2365 0.2365
Y 0.7635 0.7635 0.7635
Be 0.5000 0.5000 0.5000
Tl 0.0000 0.0000 0.0000



Entry Q
Y2BeTl | GGA-PBE | optimized geometry

Lattice parameters (Å, degrees): 5.1642 5.1642 5.1642 60.00 60.00 60.00
Positions (direct):
Y 0.0000 0.0000 0.0000
Y 0.2500 0.2500 0.2500
Be 0.5000 0.5000 0.5000
Tl 0.7500 0.7500 0.7500



Entry R
Y2BeTl | GGA-PBE | optimized geometry

Lattice parameters (Å, degrees): 3.5682 3.5682 7.4121 90.00 90.00 90.00
Positions (direct):
Y 0.0000 0.0000 0.2189
Y 0.0000 0.0000 0.7811
Be 0.5000 0.5000 0.0000
Tl 0.5000 0.5000 0.5000



Entry S
Y2BeTl | GGA-PBE | optimized geometry

Lattice parameters (Å, degrees): 6.5199 6.5199 6.5199 105.78 105.78 117.14
Positions (direct):
Y 0.0845 0.6250 0.9595
Y 0.3750 0.3345 0.4595
Y 0.6655 0.1250 0.0405
Y 0.8750 0.9155 0.5405
Be 0.0000 0.0000 0.0000
Be 0.7500 0.2500 0.5000
Tl 0.2500 0.7500 0.5000
Tl 0.5000 0.5000 0.0000



Last place for stability: entry Q



Entry P
YBe2Tl | GGA-PBE | optimized geometry

Lattice parameters (Å, degrees): 3.1637 3.1637 7.2276 90.00 90.00 90.00
Positions (direct):
Y 0.0000 0.0000 0.0000
Be 0.0000 0.0000 0.3900
Be 0.5000 0.5000 0.2739
Tl 0.5000 0.5000 0.6512



Entry Q
YBe2Tl | GGA-PBE | optimized geometry

Lattice parameters (Å, degrees): 3.5740 4.2238 5.2249 90.00 90.00 90.00
Positions (direct):
Y 0.0000 0.0000 0.0000
Be 0.5000 0.5000 0.2137
Be 0.5000 0.5000 0.7863
Tl 0.5000 0.0000 0.5000



Last place for stability: entry P



Entry P
YBe2Tl | GGA-PBE | optimized geometry

Lattice parameters (Å, degrees): 4.6195 4.6195 4.6195 60.00 60.00 60.00
Positions (direct):
Y 0.0000 0.0000 0.0000
Be 0.2500 0.2500 0.2500
Be 0.7500 0.7500 0.7500
Tl 0.5000 0.5000 0.5000



Entry Q
YBe2Tl | GGA-PBE | optimized geometry

Lattice parameters (Å, degrees): 4.0991 4.3209 4.8690 114.92 102.97 91.15
Positions (direct):
Y 0.0000 0.0000 0.0000
Be 0.3326 0.3713 0.7215
Be 0.7812 0.2836 0.5668
Tl 0.5498 0.6576 0.3125



Entry R
YBe2Tl | GGA-PBE | optimized geometry

Lattice parameters (Å, degrees): 5.5195 5.5195 5.5195 43.76 43.76 43.76
Positions (direct):
Y 0.0000 0.0000 0.0000
Be 0.2085 0.2085 0.2085
Be 0.7915 0.7915 0.7915
Tl 0.5000 0.5000 0.5000



Entry S
YBe2Tl | GGA-PBE | optimized geometry

Lattice parameters (Å, degrees): 8.8911 8.8911 8.8911 150.94 150.94 41.57
Positions (direct):
Y 0.3750 0.6250 0.7500
Y 0.6250 0.3750 0.2500
Be 0.0000 0.0000 0.0000
Be 0.0000 0.0000 0.5000
Be 0.0000 0.5000 0.0000
Be 0.5000 0.0000 0.5000
Tl 0.1250 0.8750 0.2500
Tl 0.8750 0.1250 0.7500



Last place for stability: entry S



Entry P
YBe2Tl | GGA-PBE | optimized geometry

Lattice parameters (Å, degrees): 3.9064 3.9064 6.0988 108.61 108.61 60.01
Positions (direct):
Y 0.0000 0.0000 0.0000
Be 0.2262 0.2262 0.6763
Be 0.5582 0.5582 0.6718
Tl 0.8035 0.8035 0.4079



Entry Q
YBe2Tl | GGA-PBE | optimized geometry

Lattice parameters (Å, degrees): 3.9026 5.0592 5.0592 46.74 90.00 90.00
Positions (direct):
Y 0.0000 0.0000 0.0000
Be 0.0000 0.3038 0.3038
Be 0.5000 0.3968 0.3968
Tl 0.5000 0.7097 0.7097



Entry R
YBe2Tl | GGA-PBE | optimized geometry

Lattice parameters (Å, degrees): 5.9765 5.9765 5.9765 142.35 141.80 54.72
Positions (direct):
Y 0.0000 0.0000 0.0000
Be 0.3008 0.8008 0.5000
Be 0.3885 0.3885 0.0000
Tl 0.7336 0.2336 0.5000



Last place for stability: entry R



Entry P
YBe2Tl | GGA-PBE | optimized geometry

Lattice parameters (Å, degrees): 4.4125 4.4125 3.8131 90.00 90.00 90.00
Positions (direct):
Y 0.0000 0.0000 0.0000
Be 0.0000 0.5000 0.5000
Be 0.5000 0.0000 0.5000
Tl 0.5000 0.5000 0.0000



Entry Q
YBe2Tl | GGA-PBE | optimized geometry

Lattice parameters (Å, degrees): 3.3911 3.3911 6.6736 90.00 90.00 99.37
Positions (direct):
Y 0.0000 0.0000 0.0000
Be 0.5000 0.5000 0.2871
Be 0.5000 0.5000 0.7129
Tl 0.0000 0.0000 0.5000



Last place for stability: entry Q



Entry P
BeTl2Zn | GGA-PBE | optimized geometry

Lattice parameters (Å, degrees): 4.9779 4.9779 4.9779 60.00 60.00 60.00
Positions (direct):
Be 0.0000 0.0000 0.0000
Tl 0.2500 0.2500 0.2500
Tl 0.7500 0.7500 0.7500
Zn 0.5000 0.5000 0.5000



Entry Q
BeTl2Zn | GGA-PBE | optimized geometry

Lattice parameters (Å, degrees): 3.1099 3.1099 9.0825 90.00 90.00 90.00
Positions (direct):
Be 0.0000 0.0000 0.0000
Tl 0.0000 0.0000 0.6118
Tl 0.5000 0.5000 0.2517
Zn 0.5000 0.5000 0.8895



Entry R
BeTl2Zn | GGA-PBE | optimized geometry

Lattice parameters (Å, degrees): 8.8651 8.8651 8.8651 22.17 22.17 22.17
Positions (direct):
Be 0.0000 0.0000 0.0000
Tl 0.5214 0.5214 0.5214
Tl 0.7430 0.7430 0.7430
Zn 0.2805 0.2805 0.2805



Entry S
BeTl2Zn | GGA-PBE | optimized geometry

Lattice parameters (Å, degrees): 3.8075 4.2320 5.4234 90.00 90.00 90.00
Positions (direct):
Be 0.0000 0.0000 0.0000
Tl 0.5000 0.0000 0.5000
Tl 0.5000 0.5000 0.0000
Zn 0.0000 0.5000 0.5000



Last place for stability: entry P



Entry P
BeTl2Zn | GGA-PBE | optimized geometry

Lattice parameters (Å, degrees): 6.1392 6.1392 6.1392 141.74 141.74 55.21
Positions (direct):
Be 0.0000 0.0000 0.0000
Tl 0.2500 0.7500 0.5000
Tl 0.5000 0.5000 0.0000
Zn 0.7500 0.2500 0.5000



Entry Q
BeTl2Zn | GGA-PBE | optimized geometry

Lattice parameters (Å, degrees): 8.5879 8.5879 8.5879 22.92 22.92 22.92
Positions (direct):
Be 0.0000 0.0000 0.0000
Tl 0.2578 0.2578 0.2578
Tl 0.7422 0.7422 0.7422
Zn 0.5000 0.5000 0.5000



Last place for stability: entry P



Entry P
BeTlZn2 | GGA-PBE | optimized geometry

Lattice parameters (Å, degrees): 8.7939 8.7939 8.7939 151.30 151.30 41.03
Positions (direct):
Be 0.0000 0.0000 0.0000
Be 0.7500 0.2500 0.5000
Tl 0.2500 0.7500 0.5000
Tl 0.5000 0.5000 0.0000
Zn 0.0078 0.6250 0.8828
Zn 0.3750 0.2578 0.3828
Zn 0.7422 0.1250 0.1172
Zn 0.8750 0.9922 0.6172



Entry Q
BeTlZn2 | GGA-PBE | optimized geometry

Lattice parameters (Å, degrees): 8.6259 8.6259 8.6259 20.82 20.82 20.82
Positions (direct):
Be 0.0000 0.0000 0.0000
Tl 0.5000 0.5000 0.5000
Zn 0.2674 0.2674 0.2674
Zn 0.7326 0.7326 0.7326



Last place for stability: entry P